Hf2MgCo2 after structural relaxation. Source: the Alexandria database, functional GGA-PBE.

abc: 7.2967 7.2967 3.1380
angles: 90.00 90.00 90.00
With the nearest neighbours (Å) after each atom.
Positions (direct):
1 Hf 0.8441 0.3441 0.5000  6 Co 2.65-2.66
2 Mg 0.0000 0.0000 0.0000  4 Co 2.83, 2 Mg 3.14
3 Co 0.3628 0.8628 0.0000  6 Hf 2.65-2.66, 2 Mg 2.83, 1 Co 2.83
4 Hf 0.3441 0.1559 0.5000  6 Co 2.65-2.66
5 Mg 0.5000 0.5000 0.0000  4 Co 2.83, 2 Mg 3.14
6 Hf 0.6559 0.8441 0.5000  6 Co 2.65-2.66
7 Co 0.6372 0.1372 0.0000  6 Hf 2.65-2.66, 2 Mg 2.83, 1 Co 2.83
8 Co 0.1372 0.3628 0.0000  6 Hf 2.65-2.66, 2 Mg 2.83, 1 Co 2.83
9 Co 0.8628 0.6372 0.0000  6 Hf 2.65-2.66, 2 Mg 2.83, 1 Co 2.83
10 Hf 0.1559 0.6559 0.5000  6 Co 2.65-2.66

Values from the calculation:
Its density of states at the Fermi level is 7.6 states/eV per cell. The calculation puts the magnetic moment at 0.000 μB/cell. The value obtained for the formation energy is -6.281 kcal/mol of atoms. As for the space group: P4/mbm (127). For the raw total energy, the calculation gives -0.2725 Ha/atom. The volume is 167 Å³/cell.

Sm3Ge2Rh2 after structural relaxation. Source: the Alexandria database, functional GGA-PBE.

abc: 5.6649 7.9828 13.4596
angles: 90.00 90.00 90.00
With the nearest neighbours (Å) after each atom.
Positions (direct):
1 Sm 0.3668 0.7457 0.7500  5 Ge 3.04-3.37, 4 Rh 3.10-3.11
2 Ge 0.3474 0.7500 0.0000  4 Rh 2.61-2.62
3 Ge 0.6526 0.2500 0.0000  4 Rh 2.61-2.62
4 Rh 0.6244 0.9615 0.9082  3 Ge 2.58-2.62
5 Sm 0.8570 0.6063 0.8996  4 Rh 2.95-3.16, 3 Ge 3.04-3.30
6 Ge 0.6526 0.2500 0.5000  4 Rh 2.61-2.62
7 Sm 0.8570 0.8937 0.3996  4 Rh 2.95-3.16, 3 Ge 3.04-3.30
8 Sm 0.8570 0.8937 0.1004  4 Rh 2.95-3.16, 3 Ge 3.04-3.30
9 Rh 0.6244 0.5385 0.4082  3 Ge 2.58-2.62
10 Ge 0.3474 0.7500 0.5000  4 Rh 2.61-2.62
11 Ge 0.1375 0.3923 0.7500  2 Rh 2.58
12 Ge 0.8625 0.6077 0.2500  2 Rh 2.58
13 Sm 0.1430 0.3937 0.1004  4 Rh 2.95-3.16, 3 Ge 3.04-3.30
14 Sm 0.6332 0.2543 0.2500  5 Ge 3.04-3.37, 4 Rh 3.10-3.11
15 Sm 0.6332 0.2457 0.7500  5 Ge 3.04-3.37, 4 Rh 3.10-3.11
16 Sm 0.1430 0.3937 0.3996  4 Rh 2.95-3.16, 3 Ge 3.04-3.30
17 Rh 0.3756 0.0385 0.4082  3 Ge 2.58-2.62
18 Sm 0.1430 0.1063 0.6004  4 Rh 2.95-3.16, 3 Ge 3.04-3.30
19 Ge 0.8625 0.8923 0.7500  2 Rh 2.58
20 Rh 0.3756 0.0385 0.0918  3 Ge 2.58-2.62
21 Sm 0.3668 0.7543 0.2500  5 Ge 3.04-3.37, 4 Rh 3.10-3.11
22 Ge 0.1375 0.1077 0.2500  2 Rh 2.58
23 Sm 0.1430 0.1063 0.8996  4 Rh 2.95-3.16, 3 Ge 3.04-3.30
24 Rh 0.3756 0.4615 0.5918  3 Ge 2.58-2.62
25 Rh 0.3756 0.4615 0.9082  3 Ge 2.58-2.62
26 Rh 0.6244 0.9615 0.5918  3 Ge 2.58-2.62
27 Sm 0.8570 0.6063 0.6004  4 Rh 2.95-3.16, 3 Ge 3.04-3.30
28 Rh 0.6244 0.5385 0.0918  3 Ge 2.58-2.62

Values from the calculation:
Its density of states at the Fermi level is 22.5 states/eV per cell. The calculation puts the magnetic moment at 0.000 μB/cell. The value obtained for the formation energy is -20.383 kcal/mol of atoms. As for the space group: Pbcm (57). For the raw total energy, the calculation gives -0.2325 Ha/atom. The volume is 609 Å³/cell.

ScIn2Ge2 after structural relaxation. Source: the Alexandria database, functional GGA-PBE.

abc: 7.7392 7.7392 3.7937
angles: 90.00 90.00 90.00
With the nearest neighbours (Å) after each atom.
Positions (direct):
1 In 0.1332 0.3668 0.0000  6 Ge 2.88-3.02, 1 In 2.92, 2 Sc 3.02
2 Sc 0.5000 0.5000 0.0000  4 In 3.02
3 In 0.8668 0.6332 0.0000  6 Ge 2.88-3.02, 1 In 2.92, 2 Sc 3.02
4 Ge 0.3315 0.1685 0.5000  6 In 2.88-3.02
5 Ge 0.8315 0.3315 0.5000  6 In 2.88-3.02
6 In 0.6332 0.1332 0.0000  6 Ge 2.88-3.02, 1 In 2.92, 2 Sc 3.02
7 Ge 0.1685 0.6685 0.5000  6 In 2.88-3.02
8 Ge 0.6685 0.8315 0.5000  6 In 2.88-3.02
9 In 0.3668 0.8668 0.0000  6 Ge 2.88-3.02, 1 In 2.92, 2 Sc 3.02
10 Sc 0.0000 0.0000 0.0000  4 In 3.02

Values from the calculation:
Its density of states at the Fermi level is 5.7 states/eV per cell. The calculation puts the magnetic moment at 0.000 μB/cell. The value obtained for the formation energy is 1.616 kcal/mol of atoms. As for the space group: P4/mbm (127). For the relative energy among the computed polymorphs, the calculation gives 190 meV per atom. For the raw total energy, the calculation gives -0.1521 Ha/atom. The volume is 227 Å³/cell.